Record 1
Compound: BeSb2Se
Source: Alexandria via LeMat-Bulk
Functional: PBE
Structure: relaxed

Results
Raw formation energy (meV/atom): 387
Energy above the lowest structure with this stoichiometry (meV/atom): 467
SG: Cmmm, No. 65

abc: 3.4999 3.4999 7.7546
angles: 90.00 90.00 112.35
Fractional positions:
Sb 0.0000 0.0000 0.9635
Sb 0.0000 0.0000 0.5365
Se 0.5000 0.5000 0.2500
Be 0.5000 0.5000 0.7500

=====

Record 2
Compound: Fe4Sb12Te
Source: Alexandria via LeMat-Bulk
Functional: PBE
Structure: relaxed

Results
Raw formation energy (meV/atom): 31
SG: Im-3, No. 204

abc: 8.0078 8.0078 8.0078
angles: 109.47 109.47 109.47
Each line ends with the local moment (μB).
Fractional positions:
Fe 0.0000 0.5000 0.0000  1.01
Fe 0.5000 0.0000 0.0000  1.01
Fe 0.5000 0.5000 0.5000  1.01
Fe 0.0000 0.0000 0.5000  1.01
Sb 0.8405 0.3280 0.1685  -0.01
Sb 0.3280 0.4875 0.1595  -0.01
Sb 0.8315 0.1595 0.6720  -0.01
Sb 0.3280 0.1685 0.8405  -0.01
Sb 0.1685 0.8405 0.3280  -0.01
Sb 0.6720 0.5125 0.8405  -0.01
Sb 0.4875 0.1595 0.3280  -0.01
Sb 0.5125 0.8405 0.6720  -0.01
Sb 0.6720 0.8315 0.1595  -0.01
Sb 0.8405 0.6720 0.5125  -0.01
Sb 0.1595 0.3280 0.4875  -0.01
Sb 0.1595 0.6720 0.8315  -0.01
Te 0.0000 0.0000 0.0000  0.07

=====

Record 3
Compound: VAg2Ru
Source: Alexandria via LeMat-Bulk
Functional: PBE
Structure: relaxed

Results
ΔH_f (0 K) (eV per atom): 0.028
Energy above the lowest structure with this stoichiometry (meV/atom): 68
SG: P2_1/m, No. 11

abc: 2.8331 4.0404 11.1757
angles: 90.00 96.29 90.00
Fractional positions:
Ru 0.5732 0.2500 0.6457
Ru 0.4268 0.7500 0.3543
Ag 0.8377 0.2500 0.2017
Ag 0.1623 0.7500 0.7983
Ag 0.7188 0.2500 0.9294
Ag 0.2812 0.7500 0.0706
V 0.1263 0.2500 0.4440
V 0.8737 0.7500 0.5560

=====

Record 4
Compound: FeHg2Ir
Source: Alexandria via LeMat-Bulk
Functional: PBE
Structure: relaxed

Results
ΔH_f (0 K) (eV per atom): 0.511
Energy above the lowest structure with this stoichiometry (meV/atom): 228
SG: C2/m, No. 12

abc: 4.9144 4.9144 5.0139
angles: 79.39 79.39 35.90
Each line ends with the local moment (μB).
Fractional positions:
Fe 0.2500 0.2500 0.2500  2.99
Hg 0.9990 0.9990 0.0024  -0.03
Hg 0.5010 0.5010 0.4976  -0.03
Ir 0.7500 0.7500 0.7500  0.34

=====

no.,total magnetization (μB/cell)
1,0.0
2,4.0
3,0.0
4,3.3